First-principles (PBE) data for crystalline Ni2TeMo at its relaxed geometry, as listed in the Alexandria database.

Structure (POSCAR):
```
Ni2TeMo
1.0
4.343 -1.570 0.000
4.343 1.570 0.000
-0.776 0.000 4.519
Ni Te Mo
2 1 1
Cartesian
1.925 0.000 0.969 Ni
5.985 0.000 3.550 Ni
-0.388 0.000 2.259 Te
4.343 0.000 0.000 Mo
```

Properties
Symmetry   No. 12
Formation energy (no corrections)   341 meV per atom
E   -0.444 Ry/atom

=====

First-principles (PBE) data for crystalline HgTe2Pt at its relaxed geometry, as listed in the Alexandria database.

Structure (POSCAR):
```
HgTe2Pt
1.0
4.004 -7.072 0.000
4.004 7.072 0.000
-3.264 0.000 15.958
Hg Te Pt
8 16 8
Cartesian
-0.929 3.277 14.612 Hg
-0.819 0.465 6.929 Hg
-2.451 -0.465 14.908 Hg
0.703 -3.277 6.633 Hg
4.042 3.277 9.325 Hg
7.196 0.465 1.050 Hg
5.564 -0.465 9.029 Hg
5.674 -3.277 1.346 Hg
0.977 3.921 6.723 Te
-0.602 0.756 11.972 Te
1.556 4.232 11.969 Te
1.030 -0.756 3.993 Te
3.188 2.924 3.990 Te
5.399 3.921 1.256 Te
3.350 0.294 1.265 Te
1.718 -0.294 9.244 Te
3.026 0.294 6.714 Te
1.395 -0.294 14.693 Te
-0.655 -3.921 14.702 Te
1.556 -2.924 11.969 Te
3.714 0.756 11.965 Te
3.188 -4.232 3.990 Te
5.346 -0.756 3.986 Te
3.767 -3.921 9.235 Te
1.163 1.587 5.315 Pt
1.840 2.010 10.486 Pt
1.273 2.010 13.452 Pt
-0.469 -1.587 13.294 Pt
5.214 1.587 2.664 Pt
3.472 -2.010 2.507 Pt
2.905 -2.010 5.472 Pt
3.582 -1.587 10.643 Pt
```

Properties
Symmetry   No. 15
Formation energy (no corrections)   -180 meV per atom
E   -0.245 Ry/atom

=====

First-principles (PBE) data for crystalline SrH16O10 at its relaxed geometry, as listed in the Alexandria database.

Structure (POSCAR):
```
SrH16O10
1.0
6.239 0.000 0.000
1.546 6.403 0.000
1.294 1.395 6.507
Sr H O
1 16 10
Cartesian
0.000 0.000 0.000 Sr
2.254 1.473 2.136 H
3.467 3.455 6.386 H
3.695 5.316 4.484 H
3.443 5.227 2.415 H
2.936 2.936 2.408 H
3.421 3.320 4.760 H
4.259 5.818 1.245 H
4.910 5.929 5.198 H
4.168 1.869 1.309 H
4.819 1.980 5.262 H
5.658 4.478 1.747 H
6.143 4.861 4.099 H
5.635 2.570 4.093 H
5.383 2.482 2.023 H
5.612 4.343 0.121 H
6.824 6.325 4.371 H
3.917 6.007 5.175 O
3.402 5.981 1.719 O
2.523 2.320 1.714 O
3.239 2.834 5.652 O
3.799 3.985 3.372 O
5.279 3.813 3.135 O
5.839 4.964 0.856 O
6.555 5.478 4.794 O
5.676 1.817 4.788 O
5.161 1.791 1.333 O
```

Properties
Relative energy among the computed polymorphs   1.258 eV/f.u.
Symmetry   No. 2
E   -0.368 Ry/atom

=====

First-principles (PBE) data for crystalline AlAs2Br at its relaxed geometry, as listed in the Alexandria database.

Structure (POSCAR):
```
AlAs2Br
1.0
1.535 0.886 10.890
-1.535 0.886 10.890
0.000 -1.773 10.890
Al As Br
1 2 1
Cartesian
0.000 0.000 0.000 Al
0.000 0.000 8.883 As
0.000 0.000 23.789 As
0.000 0.000 16.336 Br
```

Properties
Relative energy among the computed polymorphs   1.406 eV/f.u.
Symmetry   No. 166
Formation energy (no corrections)   128 meV per atom
E   -0.261 Ry/atom

=====

First-principles (PBE) data for crystalline Dy3Sn2Hg at its relaxed geometry, as listed in the Alexandria database.

Structure (POSCAR):
```
Dy3Sn2Hg
1.0
8.118 -3.152 0.000
8.118 3.152 0.000
-1.386 0.000 6.251
Dy Sn Hg
6 4 2
Cartesian
7.079 2.272 4.688 Dy
4.783 0.679 2.506 Dy
4.090 -0.679 5.631 Dy
10.760 0.679 0.620 Dy
10.067 -0.679 3.745 Dy
7.772 -2.272 1.563 Dy
2.523 0.650 0.339 Sn
1.830 -0.650 3.465 Sn
13.021 0.650 2.787 Sn
12.328 -0.650 5.912 Sn
7.772 0.793 1.563 Hg
7.079 -0.793 4.688 Hg
```

Properties
ΔE_f   -3.282 eV per formula unit
Relative energy among the computed polymorphs   0.219 eV/f.u.
Symmetry   No. 15
E   -0.311 Ry/atom

=====

First-principles (PBE) data for crystalline GdDyHoTh at its relaxed geometry, as listed in the Alexandria database.

Structure (POSCAR):
```
GdDyHoTh
1.0
0.000 4.004 4.004
4.004 0.000 4.004
4.004 4.004 0.000
Gd Dy Ho Th
1 1 1 1
Cartesian
0.000 0.000 0.000 Gd
6.006 6.006 6.006 Dy
2.002 2.002 2.002 Ho
4.004 4.004 4.004 Th
```

Properties
ΔE_f   0.544 eV per formula unit
Symmetry   No. 216
E   -0.554 Ry/atom

=====

First-principles (PBE) data for crystalline Ce8Os2Rh at its relaxed geometry, as listed in the Alexandria database.

Structure (POSCAR):
```
Ce8Os2Rh
1.0
8.823 -2.258 0.000
8.823 2.258 0.000
-1.205 0.000 6.536
Ce Os Rh
8 2 1
Cartesian
-0.273 0.000 1.675 Ce
3.550 0.000 1.773 Ce
5.958 0.000 0.148 Ce
6.534 0.000 3.517 Ce
9.907 0.000 3.019 Ce
10.483 0.000 6.388 Ce
12.890 0.000 4.763 Ce
16.713 0.000 4.862 Ce
2.085 0.000 4.438 Os
14.355 0.000 2.098 Os
8.823 0.000 0.000 Rh
```

Properties
ΔE_f   -2.299 eV per formula unit
Relative energy among the computed polymorphs   0.000 eV/f.u.
Symmetry   No. 12
E   -0.532 Ry/atom

=====

First-principles (PBE) data for crystalline Ba2AlBPd6 at its relaxed geometry, as listed in the Alexandria database.

Structure (POSCAR):
```
Ba2AlBPd6
1.0
6.078 0.000 0.000
3.035 5.268 0.000
3.024 1.750 6.277
Ba Al B Pd
2 1 1 6
Cartesian
3.033 1.756 2.118 Ba
9.104 5.261 4.159 Ba
6.068 3.509 3.139 Al
0.000 0.000 0.000 B
4.648 2.686 5.196 Pd
6.065 5.139 5.199 Pd
4.653 4.332 1.092 Pd
7.484 2.686 5.185 Pd
6.072 1.878 1.078 Pd
7.489 4.332 1.081 Pd
```

Properties
ΔE_f   -5.452 eV per formula unit
Symmetry   No. 2
E   -0.374 Ry/atom

=====

no.,V (Å³/cell)
1,61.6
2,903.8
3,260.0
4,88.9
5,319.9
6,128.4
7,260.5
8,201.0